# 1
This record from Alexandria via LeMat-Bulk describes a relaxed HfNpSnPd crystal. The functional is PBE.

The space group is F-43m (No. 216) and the conventional cell measures 7.0433, 7.0433 and 7.0433 Å, with angles of 90.00, 90.00 and 90.00 degrees. Symmetry generates all atoms from Hf at (0.0000, 0.0000, 0.0000), Np at (0.2500, 0.2500, 0.7500), Sn at (0.0000, 0.0000, 0.5000) and Pd at (0.2500, 0.2500, 0.2500).

Its formation energy is 0.659 eV/f.u.

=====

# 2
This record from Alexandria via LeMat-Bulk describes a relaxed NiHg2Sb crystal. The functional is PBE.

The space group is Pm (No. 6) and the conventional cell measures 5.1224, 3.4604 and 5.8723 Å, with angles of 90.00, 111.68 and 90.00 degrees. Symmetry generates all atoms from Ni at (0.0000, 0.0000, 0.0000), Hg at (0.4876, 0.0000, 0.9725), Hg at (0.7816, 0.5000, 0.6244) and Sb at (0.1540, 0.5000, 0.3218).

For the electronic total energy, the calculation gives -10.1 eV/cell.

=====

Number 1: calculated volume 349.4 Å³/cell. Number 2: calculated volume 96.7 Å³/cell.